[1]
Here is Li6Cd2Pb after structural relaxation from Alexandria. Energies are from GGA-PBE.

The structure in POSCAR format:
```
Li6Cd2Pb
1.0
8.563 0.000 0.000
0.000 8.711 0.000
0.000 0.000 4.641
Li Cd Pb
12 4 2
direct
0.011 0.168 0.000 Li
0.164 0.048 0.500 Li
0.175 0.381 0.500 Li
0.325 0.881 0.000 Li
0.336 0.548 0.000 Li
0.489 0.668 0.500 Li
0.511 0.332 0.500 Li
0.664 0.452 0.000 Li
0.675 0.119 0.000 Li
0.825 0.619 0.500 Li
0.836 0.952 0.500 Li
0.989 0.832 0.000 Li
0.158 0.721 0.500 Cd
0.342 0.221 0.000 Cd
0.658 0.779 0.000 Cd
0.842 0.279 0.500 Cd
0.000 0.500 0.000 Pb
0.500 0.000 0.500 Pb
```

- Calculated volume: 346.20 Å³/cell
- Energy: -2.087 eV/atom
- Excess energy over the best structure of this formula in the dataset: 0.037 eV/atom
- Energy of formation from the pure elements: -195.6 meV/atom
- D(E_F): 8.7 states/eV/cell

---

[2]
Here is CrCdAs2 after structural relaxation from Alexandria. Energies are from GGA-PBE.

The structure in POSCAR format:
```
CrCdAs2
1.0
5.919 0.000 0.000
0.000 7.060 0.000
0.000 0.000 3.603
Cr Cd As
2 2 4
direct
0.000 0.000 0.000 Cr
0.500 0.500 0.000 Cr
0.000 0.500 0.000 Cd
0.500 0.000 0.000 Cd
0.250 0.250 0.500 As
0.250 0.750 0.500 As
0.750 0.250 0.500 As
0.750 0.750 0.500 As
```

- Calculated volume: 150.57 Å³/cell
- Energy: -4.718 eV/atom
- Energy of formation from the pure elements: 241.7 meV/atom
- D(E_F): 3.5 states/eV/cell

---

[3]
Here is Na3Pd2Au after structural relaxation from Alexandria. Energies are from GGA-PBE.

The structure in POSCAR format:
```
Na3Pd2Au
1.0
5.229 0.000 0.000
-2.614 4.528 0.000
0.000 0.000 4.839
Na Pd Au
3 2 1
direct
0.000 0.500 0.000 Na
0.500 0.000 0.000 Na
0.500 0.500 0.000 Na
0.333 0.667 0.500 Pd
0.667 0.333 0.500 Pd
0.000 0.000 0.500 Au
```

- Calculated volume: 114.57 Å³/cell
- Energy: -2.868 eV/atom
- Energy of formation from the pure elements: 69.1 meV/atom
- D(E_F): 2.8 states/eV/cell

---

[4]
Here is TaVGa3 after structural relaxation from Alexandria. Energies are from GGA-PBE.

The structure in POSCAR format:
```
TaVGa3
1.0
4.614 0.000 0.000
0.000 4.614 0.000
0.000 0.000 4.614
Ta V Ga
1 1 3
direct
0.000 0.000 0.000 Ta
0.500 0.500 0.500 V
0.000 0.500 0.500 Ga
0.500 0.000 0.500 Ga
0.500 0.500 0.000 Ga
```

- Calculated volume: 98.26 Å³/cell
- Energy: -5.090 eV/atom
- Excess energy over the best structure of this formula in the dataset: 0.947 eV/atom
- Energy of formation from the pure elements: 919.9 meV/atom
- D(E_F): 5.2 states/eV/cell

---

[5]
Here is LaPaN2 after structural relaxation from Alexandria. Energies are from GGA-PBE.

The structure in POSCAR format:
```
LaPaN2
1.0
3.567 0.000 0.000
-1.784 3.089 0.000
0.000 0.000 18.555
La Pa N
3 3 6
direct
0.000 0.000 0.000 La
0.333 0.667 0.667 La
0.667 0.333 0.333 La
0.000 0.000 0.178 Pa
0.333 0.667 0.845 Pa
0.667 0.333 0.511 Pa
0.000 0.000 0.577 N
0.000 0.000 0.779 N
0.333 0.667 0.244 N
0.333 0.667 0.446 N
0.667 0.333 0.112 N
0.667 0.333 0.910 N
```

- Calculated volume: 204.50 Å³/cell
- Energy: -9.150 eV/atom
- Excess energy over the best structure of this formula in the dataset: 0.197 eV/atom
- D(E_F): 2.6 states/eV/cell
- Uncorrected formation energy: -1.382 eV/atom

---

[6]
Here is PmNdZr after structural relaxation from Alexandria. Energies are from GGA-PBE.

The structure in POSCAR format:
```
PmNdZr
1.0
3.438 0.000 0.000
0.000 3.438 0.000
0.000 0.000 15.300
Pm Nd Zr
2 2 2
direct
0.000 0.000 0.000 Pm
0.500 0.500 0.500 Pm
0.000 0.000 0.310 Nd
0.500 0.500 0.810 Nd
0.000 0.000 0.654 Zr
0.500 0.500 0.154 Zr
```

- Calculated volume: 180.86 Å³/cell
- Energy: -5.902 eV/atom
- Excess energy over the best structure of this formula in the dataset: 0.015 eV/atom
- Energy of formation from the pure elements: 119.7 meV/atom
- D(E_F): 8.3 states/eV/cell

---

[7]
Here is EuGdPt after structural relaxation from Alexandria. Energies are from GGA-PBE.

The structure in POSCAR format:
```
EuGdPt
1.0
7.046 0.000 0.000
0.000 7.046 0.000
0.000 0.000 7.046
Eu Gd Pt
4 4 4
direct
0.000 0.000 0.000 Eu
0.000 0.500 0.500 Eu
0.500 0.000 0.500 Eu
0.500 0.500 0.000 Eu
0.000 0.000 0.500 Gd
0.000 0.500 0.000 Gd
0.500 0.000 0.000 Gd
0.500 0.500 0.500 Gd
0.250 0.250 0.750 Pt
0.250 0.750 0.250 Pt
0.750 0.250 0.250 Pt
0.750 0.750 0.750 Pt
```

- Calculated volume: 349.80 Å³/cell
- Energy: -10.882 eV/atom
- Excess energy over the best structure of this formula in the dataset: 0.000 eV/atom
- Energy of formation from the pure elements: -750.4 meV/atom
- D(E_F): 18.7 states/eV/cell

---

[8]
Here is LaClF2 after structural relaxation from Alexandria. Energies are from GGA-PBE.

The structure in POSCAR format:
```
LaClF2
1.0
4.112 0.000 0.000
-2.056 3.561 0.000
0.000 0.000 14.934
La Cl F
3 3 6
direct
0.000 0.000 0.000 La
0.333 0.667 0.667 La
0.667 0.333 0.333 La
0.000 0.000 0.500 Cl
0.333 0.667 0.167 Cl
0.667 0.333 0.833 Cl
0.000 0.000 0.297 F
0.000 0.000 0.703 F
0.333 0.667 0.370 F
0.333 0.667 0.963 F
0.667 0.333 0.037 F
0.667 0.333 0.630 F
```

- Calculated volume: 218.73 Å³/cell
- Energy: -6.096 eV/atom
- Excess energy over the best structure of this formula in the dataset: 0.123 eV/atom
- D(E_F): 0.0 states/eV/cell
- Uncorrected formation energy: -3.467 eV/atom

---

[9]
Here is CaMg2RhSe after structural relaxation from Alexandria. Energies are from GGA-PBE.

The structure in POSCAR format:
```
CaMg2RhSe
1.0
5.805 0.000 0.000
0.000 5.805 0.000
0.000 0.000 5.117
Ca Mg Rh Se
1 2 1 1
direct
0.000 0.000 0.000 Ca
0.000 0.500 0.000 Mg
0.500 0.000 0.000 Mg
0.500 0.500 0.500 Rh
0.000 0.000 0.500 Se
```

- Calculated volume: 172.43 Å³/cell
- Energy: -2.243 eV/atom
- D(E_F): 9.5 states/eV/cell
- Uncorrected formation energy: 0.962 eV/atom